## SmHgSe (PBE-GGA)

Data for a geometry-optimized SmHgSe structure.

The space group is R-3m (No. 166, hexagonal axes) and the conventional cell measures 4.9093, 4.9093 and 23.9594 Å, with angles of 90.00, 90.00 and 120.00 degrees. The asymmetric unit holds Sm at (0.0000, 0.0000, 0.0883), Hg at (0.0000, 0.0000, 0.3448) and Se at (0.0000, 0.0000, 0.2136).

As for the crystal system: trigonal. Its uncorrected formation energy is -1.096 eV per atom.